Model A:
A relaxed structure of MgTe2Cl. Source: Alexandria, functional GGA-PBE.

## Properties
Crystal system: trigonal

Lattice parameters (Å, degrees): 4.5174 4.5174 24.0234 90.00 90.00 120.00
Closest atoms and distances in Å follow each position.
Space group R-3m (No. 166, hexagonal axes)
Unique sites:
Mg1 0.0000 0.0000 0.0000  6 Te 2.94
Te1 0.0000 0.0000 0.3898  1 Cl 2.65, 3 Mg 2.94
Cl1 0.0000 0.0000 0.5000  2 Te 2.65

***

Model B:
A relaxed structure of MgTe2Cl. Source: Alexandria, functional GGA-PBE.

## Properties
Crystal system: tetragonal

Lattice parameters (Å, degrees): 4.8365 4.8365 21.4880 90.00 90.00 90.00
Closest atoms and distances in Å follow each position.
Space group I-42d (No. 122)
Unique sites:
Mg1 0.0000 0.0000 0.0000  4 Te 3.04
Te1 0.1562 0.2500 0.1250  2 Te 2.85, 2 Mg 3.04
Cl1 0.0000 0.0000 0.5000  4 Te 3.38, 4 Mg 3.42

***

Compare the structures above. Which one is the most stable? model A is.